A plane-wave DFT calculation with PBE was carried out for a relaxed structure of Gd3DyRu.

a = 5.4146 Å, b = 5.4146 Å, c = 5.4146 Å
α = 90.00°, β = 90.00°, γ = 90.00°
Closest atoms and distances in Å follow each position.
Fractional coordinates of all 5 atoms:
Ru 0.0000 0.0000 0.0000  6 Gd 2.71
Gd 0.0000 0.5000 0.0000  2 Ru 2.71
Gd 0.0000 0.0000 0.5000  2 Ru 2.71
Gd 0.5000 0.0000 0.0000  2 Ru 2.71
Dy 0.5000 0.5000 0.5000  12 Gd 3.83

Values from the calculation:
- E_tot: -0.82832 Ry/atom
- Space group: Pm-3m, No. 221
- Formation enthalpy at 0 K: -46 meV/atom



A plane-wave DFT calculation with PBE was carried out for a relaxed structure of GdDyRu4.

a = 5.3465 Å, b = 5.3465 Å, c = 5.3465 Å
α = 60.00°, β = 60.00°, γ = 60.00°
Closest atoms and distances in Å follow each position.
Fractional coordinates of all 6 atoms:
Ru 0.6251 0.6251 0.1248  6 Ru 2.67
Ru 0.6251 0.1248 0.6251  6 Ru 2.67
Ru 0.6251 0.6251 0.6251  6 Ru 2.67
Ru 0.1248 0.6251 0.6251  6 Ru 2.67
Gd 0.2500 0.2500 0.2500  12 Ru 3.13, 4 Dy 3.27
Dy 0.0000 0.0000 0.0000  12 Ru 3.13, 4 Gd 3.27

Values from the calculation:
- E_tot: -0.70382 Ry/atom
- Space group: F-43m, No. 216
- Formation enthalpy at 0 K: -278 meV/atom



A plane-wave DFT calculation with PBE was carried out for a relaxed structure of GdDy3Ru.

a = 5.3871 Å, b = 5.3871 Å, c = 5.3871 Å
α = 90.00°, β = 90.00°, γ = 90.00°
Closest atoms and distances in Å follow each position.
Fractional coordinates of all 5 atoms:
Ru 0.0000 0.0000 0.0000  6 Dy 2.69
Gd 0.5000 0.5000 0.5000  12 Dy 3.81
Dy 0.0000 0.5000 0.0000  2 Ru 2.69
Dy 0.0000 0.0000 0.5000  2 Ru 2.69
Dy 0.5000 0.0000 0.0000  2 Ru 2.69

Values from the calculation:
- E_tot: -0.55223 Ry/atom
- Space group: Pm-3m, No. 221
- Formation enthalpy at 0 K: -81 meV/atom



A plane-wave DFT calculation with PBE was carried out for a relaxed structure of GdDyScRu.

a = 5.0591 Å, b = 5.0591 Å, c = 5.0591 Å
α = 60.00°, β = 60.00°, γ = 60.00°
Closest atoms and distances in Å follow each position.
Fractional coordinates of all 4 atoms:
Sc 0.0000 0.0000 0.0000  4 Gd 3.10, 4 Dy 3.10
Ru 0.5000 0.5000 0.5000  4 Dy 3.10, 4 Gd 3.10
Gd 0.2500 0.2500 0.2500  4 Ru 3.10, 4 Sc 3.10
Dy 0.7500 0.7500 0.7500  4 Sc 3.10, 4 Ru 3.10

Values from the calculation:
- E_tot: -0.63111 Ry/atom
- Space group: F-43m, No. 216
- Formation enthalpy at 0 K: -14 meV/atom



A plane-wave DFT calculation with PBE was carried out for a relaxed structure of GdDyZnRu.

a = 4.9369 Å, b = 4.9369 Å, c = 4.9369 Å
α = 60.00°, β = 60.00°, γ = 60.00°
Closest atoms and distances in Å follow each position.
Fractional coordinates of all 4 atoms:
Ru 0.2500 0.2500 0.2500  4 Gd 3.02, 4 Dy 3.02
Zn 0.7500 0.7500 0.7500  4 Gd 3.02, 4 Dy 3.02
Gd 0.5000 0.5000 0.5000  4 Zn 3.02, 4 Ru 3.02
Dy 0.0000 0.0000 0.0000  4 Ru 3.02, 4 Zn 3.02

Values from the calculation:
- E_tot: -0.56203 Ry/atom
- Space group: F-43m, No. 216
- Formation enthalpy at 0 K: -339 meV/atom



A plane-wave DFT calculation with PBE was carried out for a relaxed structure of GdDyS2.

a = 3.9367 Å, b = 3.9367 Å, c = 6.8022 Å
α = 73.18°, β = 73.18°, γ = 60.00°
Closest atoms and distances in Å follow each position.
Fractional coordinates of all 4 atoms:
S 0.2515 0.2515 0.2456  3 Dy 2.77, 3 Gd 2.80
S 0.7485 0.7485 0.7544  3 Dy 2.77, 3 Gd 2.80
Gd 0.5000 0.5000 0.5000  6 S 2.80
Dy 0.0000 0.0000 0.0000  6 S 2.77

Values from the calculation:
- E_tot: -0.64474 Ry/atom
- Space group: R-3m, No. 166
- Formation energy (no corrections): -2.038 eV/atom



A plane-wave DFT calculation with PBE was carried out for a relaxed structure of Gd3DyS.

a = 5.3686 Å, b = 5.3686 Å, c = 5.3686 Å
α = 90.00°, β = 90.00°, γ = 90.00°
Closest atoms and distances in Å follow each position.
Fractional coordinates of all 5 atoms:
S 0.0000 0.0000 0.0000  6 Gd 2.68
Gd 0.0000 0.5000 0.0000  2 S 2.68
Gd 0.0000 0.0000 0.5000  2 S 2.68
Gd 0.5000 0.0000 0.0000  2 S 2.68
Dy 0.5000 0.5000 0.5000  12 Gd 3.80

Values from the calculation:
- E_tot: -0.79761 Ry/atom
- Space group: Pm-3m, No. 221
- Formation energy (no corrections): -0.658 eV/atom



A plane-wave DFT calculation with PBE was carried out for a relaxed structure of GdDy3S.

a = 5.3109 Å, b = 5.3109 Å, c = 5.3109 Å
α = 90.00°, β = 90.00°, γ = 90.00°
Closest atoms and distances in Å follow each position.
Fractional coordinates of all 5 atoms:
S 0.0000 0.0000 0.0000  6 Dy 2.66
Gd 0.5000 0.5000 0.5000  12 Dy 3.76
Dy 0.0000 0.5000 0.0000  2 S 2.66
Dy 0.0000 0.0000 0.5000  2 S 2.66
Dy 0.5000 0.0000 0.0000  2 S 2.66

Values from the calculation:
- E_tot: -0.51857 Ry/atom
- Space group: Pm-3m, No. 221
- Formation energy (no corrections): -0.653 eV/atom



A plane-wave DFT calculation with PBE was carried out for a relaxed structure of GdDy2Sb.

a = 4.0306 Å, b = 4.0306 Å, c = 7.1298 Å
α = 90.00°, β = 90.00°, γ = 90.00°
Closest atoms and distances in Å follow each position.
Fractional coordinates of all 4 atoms:
Sb 0.5000 0.5000 0.5000  8 Dy 3.27, 2 Gd 3.56
Gd 0.5000 0.5000 0.0000  8 Dy 3.46, 2 Sb 3.56
Dy 0.0000 0.0000 0.7244  1 Dy 3.20, 4 Sb 3.27, 4 Gd 3.46
Dy 0.0000 0.0000 0.2756  1 Dy 3.20, 4 Sb 3.27, 4 Gd 3.46

Values from the calculation:
- E_tot: -0.53881 Ry/atom
- Excess energy over the best structure of this formula in the dataset: 0.0208 eV per atom
- Space group: P4/mmm, No. 123
- Formation energy (no corrections): -0.479 eV/atom



A plane-wave DFT calculation with PBE was carried out for a relaxed structure of Gd2DySb.

a = 4.0652 Å, b = 4.0652 Å, c = 7.1094 Å
α = 90.00°, β = 90.00°, γ = 90.00°
Closest atoms and distances in Å follow each position.
Fractional coordinates of all 4 atoms:
Sb 0.5000 0.5000 0.0000  8 Gd 3.28, 2 Dy 3.55
Gd 0.0000 0.0000 0.7767  1 Gd 3.17, 4 Sb 3.28, 4 Dy 3.48
Gd 0.0000 0.0000 0.2233  1 Gd 3.17, 4 Sb 3.28, 4 Dy 3.48
Dy 0.5000 0.5000 0.5000  8 Gd 3.48, 2 Sb 3.55

Values from the calculation:
- E_tot: -0.71564 Ry/atom
- Space group: P4/mmm, No. 123
- Formation energy (no corrections): -0.515 eV/atom



A plane-wave DFT calculation with PBE was carried out for a relaxed structure of GdDy2Sb.

a = 4.7365 Å, b = 4.8308 Å, c = 4.8308 Å
α = 90.00°, β = 90.00°, γ = 90.00°
Closest atoms and distances in Å follow each position.
Fractional coordinates of all 4 atoms:
Sb 0.5000 0.5000 0.5000  8 Dy 3.38, 4 Gd 3.42
Gd 0.5000 0.0000 0.0000  8 Dy 3.38, 4 Sb 3.42
Dy 0.0000 0.0000 0.5000  4 Gd 3.38, 4 Sb 3.38, 4 Dy 3.42
Dy 0.0000 0.5000 0.0000  4 Gd 3.38, 4 Sb 3.38, 4 Dy 3.42

Values from the calculation:
- E_tot: -0.54034 Ry/atom
- Excess energy over the best structure of this formula in the dataset: 0.0000 eV per atom
- Space group: P4/mmm, No. 123
- Formation energy (no corrections): -0.500 eV/atom



A plane-wave DFT calculation with PBE was carried out for a relaxed structure of Gd2DySb.

a = 4.8636 Å, b = 4.7924 Å, c = 4.7924 Å
α = 90.00°, β = 90.00°, γ = 90.00°
Closest atoms and distances in Å follow each position.
Fractional coordinates of all 4 atoms:
Sb 0.5000 0.0000 0.0000  4 Dy 3.39, 8 Gd 3.41
Gd 0.0000 0.0000 0.5000  4 Gd 3.39, 4 Dy 3.41, 4 Sb 3.41
Gd 0.0000 0.5000 0.0000  4 Gd 3.39, 4 Dy 3.41, 4 Sb 3.41
Dy 0.5000 0.5000 0.5000  4 Sb 3.39, 8 Gd 3.41

Values from the calculation:
- E_tot: -0.71566 Ry/atom
- Space group: P4/mmm, No. 123
- Formation energy (no corrections): -0.516 eV/atom



Q: The lowest E_tot belongs to which entry?
A: Gd3DyRu



Q: The lowest E_tot belongs to which entry?
A: Gd3DyRu



Q: Among the records above, which one has the highest E_tot?
A: GdDy3S



Q: Among the records above, which one has the highest E_tot?
A: GdDy3S